{
  "formula": "MgCu2O4",
  "functional": "PBE-GGA",
  "state": "optimized geometry",
  "lattice_angstrom": [[5.953, -0.001, 0.001], [2.976, 5.155, 0.001], [8.932, 5.156, 14.419]],
  "species": ["O", "O", "Mg", "Cu", "Cu", "O", "O", "Cu", "Cu", "O", "O", "O", "Cu", "O", "O", "Mg", "O", "Mg", "O", "Cu", "O", "O", "Cu", "O", "O", "O", "Cu", "Cu", "O", "O", "Mg", "O", "O", "O", "O", "Mg", "Cu", "Mg", "O", "O", "Cu", "Cu"],
  "frac_coords": [[0.263, 0.711, 0.754], [0.256, 0.256, 0.578], [0.878, 0.878, 0.622], [0.880, 0.880, 0.954], [0.499, 0.499, 0.167], [0.279, 0.747, 0.909], [0.748, 0.748, 0.085], [0.882, 0.882, 0.285], [0.499, 0.000, 0.834], [0.288, 0.747, 0.239], [0.740, 0.740, 0.576], [0.749, 0.749, 0.418], [0.500, 0.002, 0.500], [0.713, 0.255, 0.426], [0.256, 0.710, 0.093], [0.116, 0.116, 0.051], [0.710, 0.256, 0.093], [0.118, 0.118, 0.382], [0.256, 0.256, 0.093], [0.500, 0.500, 0.500], [0.747, 0.747, 0.909], [0.739, 0.739, 0.760], [0.002, 0.500, 0.500], [0.255, 0.713, 0.426], [0.740, 0.290, 0.577], [0.263, 0.263, 0.754], [0.499, 0.002, 0.167], [0.000, 0.499, 0.834], [0.255, 0.255, 0.245], [0.257, 0.257, 0.910], [0.119, 0.119, 0.715], [0.747, 0.279, 0.909], [0.255, 0.255, 0.426], [0.290, 0.740, 0.577], [0.711, 0.263, 0.754], [0.499, 0.499, 0.001], [0.002, 0.499, 0.167], [0.499, 0.499, 0.334], [0.747, 0.747, 0.239], [0.747, 0.288, 0.239], [0.501, 0.501, 0.666], [0.499, 0.499, 0.834]],
  "e_form_raw_ev_per_atom": -1.02
}